No. 1
A crystal of Fe2SbAs relaxed with PBEsol. Source: Alexandria via LeMat-Bulk, functional meta-GGA SCAN.

Properties
Crystal system   orthorhombic
ΔE_f (raw)   0.1071 eV per atom

Cell lengths 3.310, 4.087, 4.843 Å; angles 90.00, 109.99, 90.00 degrees
Last column: magnetic moment on the atom in μB.
Fractional coordinates of all 4 atoms:
As (0.763, 0.500, 0.526)  -0.09
Fe (0.200, 0.000, 0.400)  2.54
Fe (0.058, 0.500, 0.117)  2.56
Sb (0.480, 0.000, 0.960)  -0.07

No. 2
A crystal of FeSb2As relaxed with PBEsol. Source: Alexandria via LeMat-Bulk, functional meta-GGA SCAN.

Properties
Crystal system   trigonal
ΔE_f (raw)   0.3209 eV per atom

Cell lengths 3.566, 3.566, 7.537 Å; angles 76.32, 76.32, 60.00 degrees
Last column: magnetic moment on the atom in μB.
Fractional coordinates of all 4 atoms:
As (0.500, 0.500, 0.500)  0.08
Fe (0.000, 0.000, 0.000)  2.43
Sb (0.259, 0.259, 0.222)  -0.03
Sb (0.741, 0.741, 0.778)  -0.03

No. 3
A crystal of FeSbAs2 relaxed with PBEsol. Source: Alexandria via LeMat-Bulk, functional meta-GGA SCAN.

Properties
Crystal system   monoclinic
ΔE_f (raw)   0.1585 eV per atom

Cell lengths 3.286, 4.334, 5.955 Å; angles 107.93, 90.00, 112.28 degrees
Fractional coordinates of all 4 atoms:
As (0.026, 0.053, 0.956)
As (0.176, 0.351, 0.629)
Fe (0.469, 0.938, 0.642)
Sb (0.829, 0.659, 0.272)

No. 4
A crystal of Fe2SbAs relaxed with PBEsol. Source: Alexandria via LeMat-Bulk, functional meta-GGA SCAN.

Properties
Crystal system   cubic
ΔE_f (raw)   0.4130 eV per atom

Cell lengths 4.275, 4.275, 4.275 Å; angles 60.00, 60.00, 60.00 degrees
Last column: magnetic moment on the atom in μB.
Fractional coordinates of all 4 atoms:
As (0.500, 0.500, 0.500)  -0.03
Fe (0.250, 0.250, 0.250)  1.41
Fe (0.750, 0.750, 0.750)  1.41
Sb (0.000, 0.000, 0.000)  -0.06

No. 5
A crystal of FeSb2As relaxed with PBEsol. Source: Alexandria via LeMat-Bulk, functional meta-GGA SCAN.

Properties
Crystal system   tetragonal
ΔE_f (raw)   0.3077 eV per atom

Cell lengths 5.966, 5.966, 7.248 Å; angles 114.30, 114.30, 90.00 degrees
Last column: magnetic moment on the atom in μB.
Fractional coordinates of all 8 atoms:
Sb (0.416, 0.875, 0.250)  -0.07
Sb (0.834, 0.375, 0.250)  -0.07
Sb (0.125, 0.166, 0.750)  -0.07
Sb (0.625, 0.584, 0.750)  -0.07
As (0.250, 0.750, 0.500)  0.04
As (0.000, 0.000, 0.000)  0.04
Fe (0.750, 0.250, 0.500)  2.42
Fe (0.500, 0.500, 0.000)  2.42

No. 6
A crystal of FeSbAs2 relaxed with PBEsol. Source: Alexandria via LeMat-Bulk, functional meta-GGA SCAN.

Properties
Crystal system   tetragonal
ΔE_f (raw)   0.2588 eV per atom

Cell lengths 3.156, 3.156, 7.077 Å; angles 90.00, 90.00, 90.00 degrees
Last column: magnetic moment on the atom in μB.
Fractional coordinates of all 4 atoms:
As (0.000, 0.000, 0.067)  -0.03
As (0.500, 0.500, 0.286)  -0.03
Fe (0.000, 0.000, 0.452)  1.91
Sb (0.500, 0.500, 0.695)  -0.06

No. 7
A crystal of FeSb2As relaxed with PBEsol. Source: Alexandria via LeMat-Bulk, functional meta-GGA SCAN.

Properties
Crystal system   tetragonal
ΔE_f (raw)   0.4094 eV per atom

Cell lengths 3.194, 3.194, 7.411 Å; angles 90.00, 90.00, 90.00 degrees
Last column: magnetic moment on the atom in μB.
Fractional coordinates of all 4 atoms:
As (0.500, 0.500, 0.000)  0.02
Fe (0.500, 0.500, 0.500)  1.98
Sb (0.000, 0.000, 0.709)  -0.04
Sb (0.000, 0.000, 0.291)  -0.04

No. 8
A crystal of FeSb2As relaxed with PBEsol. Source: Alexandria via LeMat-Bulk, functional meta-GGA SCAN.

Properties
Crystal system   monoclinic
ΔE_f (raw)   0.5294 eV per atom

Cell lengths 3.314, 4.996, 4.996 Å; angles 97.88, 98.09, 98.09 degrees
Last column: magnetic moment on the atom in μB.
Fractional coordinates of all 4 atoms:
As (0.500, 0.500, 0.500)  -0.02
Fe (0.500, 0.000, 0.000)  2.93
Sb (0.000, 0.500, 0.000)  -0.03
Sb (0.000, 0.000, 0.500)  -0.03

No. 9
A crystal of ScFe2As relaxed with PBEsol. Source: Alexandria via LeMat-Bulk, functional meta-GGA SCAN.

Properties
Crystal system   tetragonal
Formation energy from the elements   -0.255 eV per atom

Cell lengths 3.774, 3.774, 4.677 Å; angles 113.80, 113.80, 90.00 degrees
Last column: magnetic moment on the atom in μB.
Fractional coordinates of all 4 atoms:
As (0.250, 0.750, 0.500)  -0.02
Fe (0.000, 0.000, 0.000)  2.50
Fe (0.750, 0.250, 0.500)  2.13
Sc (0.500, 0.500, 0.000)  -0.36

No. 10
A crystal of ScFe2As relaxed with PBEsol. Source: Alexandria via LeMat-Bulk, functional meta-GGA SCAN.

Properties
Crystal system   trigonal
Formation energy from the elements   -0.324 eV per atom

Cell lengths 3.845, 3.845, 5.108 Å; angles 67.89, 67.89, 60.00 degrees
Last column: magnetic moment on the atom in μB.
Fractional coordinates of all 4 atoms:
As (0.716, 0.716, 0.851)  -0.02
Fe (0.982, 0.982, 0.054)  1.76
Fe (0.300, 0.300, 0.100)  1.82
Sc (0.506, 0.506, 0.483)  -0.31

No. 11
A crystal of ScFe2As relaxed with PBEsol. Source: Alexandria via LeMat-Bulk, functional meta-GGA SCAN.

Properties
Crystal system   tetragonal
Formation energy from the elements   -0.132 eV per atom

Cell lengths 3.180, 3.180, 5.502 Å; angles 90.00, 90.00, 90.00 degrees
Last column: magnetic moment on the atom in μB.
Fractional coordinates of all 4 atoms:
As (0.500, 0.500, 0.500)  -0.04
Fe (0.000, 0.000, 0.717)  2.41
Fe (0.000, 0.000, 0.283)  2.41
Sc (0.500, 0.500, 0.000)  -0.45

No. 12
A crystal of ScFeAsSe2 relaxed with PBEsol. Source: Alexandria via LeMat-Bulk, functional meta-GGA SCAN.

Properties
Crystal system   tetragonal
ΔE_f (raw)   0.2043 eV per atom

Cell lengths 4.992, 4.992, 5.032 Å; angles 90.00, 90.00, 90.00 degrees
Last column: magnetic moment on the atom in μB.
Fractional coordinates of all 5 atoms:
Sc (0.000, 0.000, 0.000)  0.01
As (0.000, 0.000, 0.500)  0.00
Fe (0.500, 0.500, 0.500)  3.39
Se (0.000, 0.500, 0.000)  -0.02
Se (0.500, 0.000, 0.000)  -0.02

No. 13
A crystal of Fe2AsSe relaxed with PBEsol. Source: Alexandria via LeMat-Bulk, functional meta-GGA SCAN.

Properties
Crystal system   orthorhombic
ΔE_f (raw)   0.0654 eV per atom

Cell lengths 3.074, 3.223, 6.094 Å; angles 105.33, 104.61, 90.00 degrees
Last column: magnetic moment on the atom in μB.
Fractional coordinates of all 4 atoms:
As (0.207, 0.707, 0.414)  -0.09
Fe (0.050, 0.050, 0.099)  2.65
Fe (0.788, 0.288, 0.576)  2.30
Se (0.456, 0.456, 0.912)  0.02

No. 14
A crystal of FeAs2Se relaxed with PBEsol. Source: Alexandria via LeMat-Bulk, functional meta-GGA SCAN.

Properties
Crystal system   orthorhombic
ΔE_f (raw)   0.1963 eV per atom

Cell lengths 2.919, 4.073, 6.476 Å; angles 108.33, 103.02, 90.00 degrees
Last column: magnetic moment on the atom in μB.
Fractional coordinates of all 4 atoms:
As (0.977, 0.977, 0.955)  0.00
As (0.837, 0.337, 0.674)  -0.01
Fe (0.515, 0.515, 0.030)  2.27
Se (0.171, 0.671, 0.341)  -0.03

No. 15
A crystal of Fe2AsSe relaxed with PBEsol. Source: Alexandria via LeMat-Bulk, functional meta-GGA SCAN.

Properties
Crystal system   monoclinic
ΔE_f (raw)   -0.0121 eV per atom

Cell lengths 3.027, 4.074, 5.944 Å; angles 105.10, 90.00, 111.81 degrees
Last column: magnetic moment on the atom in μB.
Fractional coordinates of all 4 atoms:
As (0.756, 0.513, 0.136)  -0.11
Fe (0.002, 0.004, 0.961)  2.58
Fe (0.247, 0.493, 0.791)  2.51
Se (0.495, 0.990, 0.612)  -0.03

No. 16
A crystal of FeSiAs2Se relaxed with PBEsol. Source: Alexandria via LeMat-Bulk, functional meta-GGA SCAN.

Properties
Crystal system   tetragonal
ΔE_f (raw)   0.9204 eV per atom

Cell lengths 4.666, 4.666, 4.712 Å; angles 90.00, 90.00, 90.00 degrees
Last column: magnetic moment on the atom in μB.
Fractional coordinates of all 5 atoms:
As (0.000, 0.500, 0.000)  -0.13
As (0.500, 0.000, 0.000)  -0.13
Si (0.000, 0.000, 0.000)  -0.02
Fe (0.500, 0.500, 0.500)  3.44
Se (0.000, 0.000, 0.500)  -0.07

No. 17
A crystal of TiFeAs2Se relaxed with PBEsol. Source: Alexandria via LeMat-Bulk, functional meta-GGA SCAN.

Properties
Crystal system   tetragonal
ΔE_f (raw)   0.3958 eV per atom

Cell lengths 4.763, 4.806, 4.806 Å; angles 90.00, 90.00, 90.00 degrees
Last column: magnetic moment on the atom in μB.
Fractional coordinates of all 5 atoms:
As (0.000, 0.000, 0.500)  -0.11
As (0.000, 0.500, 0.000)  -0.11
Fe (0.500, 0.500, 0.500)  3.29
Se (0.500, 0.000, 0.000)  -0.09
Ti (0.000, 0.000, 0.000)  0.09

No. 18
A crystal of FeAsWSe2 relaxed with PBEsol. Source: Alexandria via LeMat-Bulk, functional meta-GGA SCAN.

Properties
Crystal system   tetragonal
ΔE_f (raw)   0.8536 eV per atom

Cell lengths 4.840, 4.840, 4.882 Å; angles 90.00, 90.00, 90.00 degrees
Last column: magnetic moment on the atom in μB.
Fractional coordinates of all 5 atoms:
As (0.000, 0.000, 0.500)  -0.10
Se (0.000, 0.500, 0.000)  0.02
Se (0.500, 0.000, 0.000)  0.02
W (0.000, 0.000, 0.000)  0.17
Fe (0.500, 0.500, 0.500)  3.44

No. 19
A crystal of FeSi2As relaxed with PBEsol. Source: Alexandria via LeMat-Bulk, functional meta-GGA SCAN.

Properties
Crystal system   tetragonal
ΔE_f (raw)   0.2098 eV per atom

Cell lengths 2.826, 2.826, 6.867 Å; angles 90.00, 90.00, 90.00 degrees
Last column: magnetic moment on the atom in μB.
Fractional coordinates of all 4 atoms:
As (0.000, 0.000, 0.557)  -0.04
Fe (0.500, 0.500, 0.779)  1.05
Si (0.000, 0.000, 0.963)  -0.03
Si (0.500, 0.500, 0.201)  -0.01

No. 20
A crystal of FeSi2As relaxed with PBEsol. Source: Alexandria via LeMat-Bulk, functional meta-GGA SCAN.

Properties
Crystal system   trigonal
ΔE_f (raw)   0.2768 eV per atom

Cell lengths 2.765, 2.765, 8.816 Å; angles 80.98, 80.98, 60.00 degrees
Last column: magnetic moment on the atom in μB.
Fractional coordinates of all 4 atoms:
As (0.520, 0.520, 0.440)  -0.05
Fe (0.255, 0.255, 0.234)  1.68
Si (0.988, 0.988, 0.036)  -0.02
Si (0.737, 0.737, 0.790)  -0.04

No. 21
A crystal of FeSi2As relaxed with PBEsol. Source: Alexandria via LeMat-Bulk, functional meta-GGA SCAN.

Properties
Crystal system   tetragonal
ΔE_f (raw)   0.5175 eV per atom

Cell lengths 4.031, 4.318, 4.031 Å; angles 62.18, 90.00, 117.82 degrees
Last column: magnetic moment on the atom in μB.
Fractional coordinates of all 4 atoms:
As (0.500, 0.000, 0.500)  -0.05
Fe (0.750, 0.500, 0.750)  2.12
Si (0.000, 0.000, 0.000)  -0.06
Si (0.250, 0.500, 0.250)  0.01

No. 22
A crystal of TaFe2SiAs relaxed with PBEsol. Source: Alexandria via LeMat-Bulk, functional meta-GGA SCAN.

Properties
Crystal system   tetragonal
ΔE_f (raw)   1.0013 eV per atom

Cell lengths 4.080, 4.080, 4.730 Å; angles 90.00, 90.00, 90.00 degrees
Last column: magnetic moment on the atom in μB.
Fractional coordinates of all 5 atoms:
As (0.000, 0.000, 0.500)  0.08
Si (0.000, 0.000, 0.000)  -0.13
Fe (0.000, 0.500, 0.000)  2.39
Fe (0.500, 0.000, 0.000)  2.39
Ta (0.500, 0.500, 0.500)  -0.57

No. 23
A crystal of FeSn2As2 relaxed with PBEsol. Source: Alexandria via LeMat-Bulk, functional meta-GGA SCAN.

Properties
Crystal system   tetragonal
Formation energy from the elements   0.460 eV per atom

Cell lengths 3.512, 3.512, 8.841 Å; angles 101.46, 101.46, 90.00 degrees
Last column: magnetic moment on the atom in μB.
Fractional coordinates of all 5 atoms:
As (0.250, 0.750, 0.500)  -0.02
As (0.750, 0.250, 0.500)  -0.02
Sn (0.413, 0.413, 0.825)  -0.07
Sn (0.587, 0.587, 0.175)  -0.07
Fe (0.000, 0.000, 0.000)  2.76

No. 24
A crystal of SrFe2As2 relaxed with PBEsol. Source: Alexandria via LeMat-Bulk, functional meta-GGA SCAN.

Properties
Crystal system   tetragonal
Formation energy from the elements   -0.480 eV per atom

Cell lengths 3.930, 3.930, 6.252 Å; angles 108.32, 108.32, 90.00 degrees
Fractional coordinates of all 5 atoms:
Sr (0.000, 0.000, 0.000)
As (0.354, 0.354, 0.708)
As (0.646, 0.646, 0.292)
Fe (0.750, 0.250, 0.500)
Fe (0.250, 0.750, 0.500)

No. 25
A crystal of SrFe2As relaxed with PBEsol. Source: Alexandria via LeMat-Bulk, functional meta-GGA SCAN.

Properties
Crystal system   cubic
Formation energy from the elements   0.390 eV per atom

Cell lengths 4.624, 4.624, 4.624 Å; angles 60.00, 60.00, 60.00 degrees
Last column: magnetic moment on the atom in μB.
Fractional coordinates of all 4 atoms:
As (0.500, 0.500, 0.500)  0.02
Fe (0.000, 0.000, 0.000)  2.83
Fe (0.250, 0.250, 0.250)  2.93
Sr (0.750, 0.750, 0.750)  -0.05

No. 26
A crystal of SrFe2As relaxed with PBEsol. Source: Alexandria via LeMat-Bulk, functional meta-GGA SCAN.

Properties
Crystal system   tetragonal
Formation energy from the elements   0.352 eV per atom

Cell lengths 3.269, 3.269, 6.605 Å; angles 90.00, 90.00, 90.00 degrees
Last column: magnetic moment on the atom in μB.
Fractional coordinates of all 4 atoms:
As (0.500, 0.500, 0.500)  -0.08
Fe (0.000, 0.000, 0.668)  2.75
Fe (0.000, 0.000, 0.332)  2.75
Sr (0.500, 0.500, 0.000)  -0.09

No. 27
A crystal of SrTa2FeAs relaxed with PBEsol. Source: Alexandria via LeMat-Bulk, functional meta-GGA SCAN.

Properties
Crystal system   tetragonal
Formation energy from the elements   1.112 eV per atom

Cell lengths 4.756, 4.756, 5.444 Å; angles 90.00, 90.00, 90.00 degrees
Last column: magnetic moment on the atom in μB.
Fractional coordinates of all 5 atoms:
Sr (0.000, 0.000, 0.500)  -0.04
As (0.000, 0.000, 0.000)  0.03
Fe (0.500, 0.500, 0.500)  3.39
Ta (0.000, 0.500, 0.000)  -0.38
Ta (0.500, 0.000, 0.000)  -0.38

No. 28
A crystal of Ta3FeAs relaxed with PBEsol. Source: Alexandria via LeMat-Bulk, functional meta-GGA SCAN.

Properties
Crystal system   cubic
Formation energy from the elements   0.780 eV per atom

Cell lengths 4.531, 4.531, 4.531 Å; angles 90.00, 90.00, 90.00 degrees
Fractional coordinates of all 5 atoms:
As (0.500, 0.500, 0.500)
Fe (0.000, 0.000, 0.000)
Ta (0.000, 0.500, 0.000)
Ta (0.000, 0.000, 0.500)
Ta (0.500, 0.000, 0.000)

No. 29
A crystal of TaFeAs2 relaxed with PBEsol. Source: Alexandria via LeMat-Bulk, functional meta-GGA SCAN.

Properties
Crystal system   cubic
Formation energy from the elements   0.067 eV per atom

Cell lengths 4.359, 4.359, 4.359 Å; angles 60.00, 60.00, 60.00 degrees
Last column: magnetic moment on the atom in μB.
Fractional coordinates of all 4 atoms:
As (0.250, 0.250, 0.250)  -0.02
As (0.750, 0.750, 0.750)  -0.02
Fe (0.500, 0.500, 0.500)  2.48
Ta (0.000, 0.000, 0.000)  -0.07

No. 30
A crystal of TaFeAs2 relaxed with PBEsol. Source: Alexandria via LeMat-Bulk, functional meta-GGA SCAN.

Properties
Crystal system   orthorhombic
Formation energy from the elements   0.076 eV per atom

Cell lengths 3.090, 3.628, 5.418 Å; angles 90.00, 89.97, 90.00 degrees
Last column: magnetic moment on the atom in μB.
Fractional coordinates of all 4 atoms:
As (0.500, 0.000, 0.747)  -0.02
As (0.500, 0.000, 0.253)  -0.02
Fe (0.500, 0.500, 0.000)  1.58
Ta (0.000, 0.500, 0.500)  -0.02